Ta2CS2 (PBE, relaxed); ρ = 8793 kg/m3; total DFT energy (no corrections) = -7.39 eV/atom; ΔE to the lowest computed polymorph = 861 kJ/mol of formula units; E_form (uncorrected) = 0.850 eV/atom; total magnetic moment = 0.00 μB per atom; space-group type = I4/mmm
1.0
-1.9026 1.9026 5.7133
1.9026 -1.9026 5.7133
1.9026 1.9026 -5.7133
Ta C S
2 1 2
Direct
0.1172 0.1172 0.0000
0.8828 0.8828 0.0000
0.5000 0.5000 0.0000
0.2500 0.7500 0.5000
0.7500 0.2500 0.5000

---

PuNp2ScSe4 (PBE, relaxed); ρ = 9473 kg/m3; total DFT energy (no corrections) = -8.86 eV/atom; E_form (uncorrected) = -1.299 eV/atom; total magnetic moment = 1.83 μB per atom; space-group type = P2/m
1.0
7.0266 0.0000 0.0000
0.0000 4.0520 0.0000
-2.3267 0.0000 6.6417
Pu Np Sc Se
1 2 1 4
Direct
0.0000 0.0000 0.0000
0.5000 0.0000 0.5000
0.5000 0.5000 0.0000
0.0000 0.5000 0.5000
0.2390 0.0000 0.7383
0.2459 0.5000 0.2563
0.7541 0.5000 0.7437
0.7610 0.0000 0.2617

---

CaNd4Ho (PBE, relaxed); ρ = 5851 kg/m3; ΔE_f = 0.217 eV/atom; total DFT energy (no corrections) = -4.06 eV/atom; ΔE to the lowest computed polymorph = 101 kJ/mol of formula units; total magnetic moment = 0.00 μB per atom; space-group type = F-43m
1.0
0.0000 4.8055 4.8055
4.8055 0.0000 4.8055
4.8055 4.8055 0.0000
Ca Nd Ho
1 4 1
Direct
0.0000 0.0000 0.0000
0.1304 0.6232 0.6232
0.6232 0.1304 0.6232
0.6232 0.6232 0.1304
0.6232 0.6232 0.6232
0.2500 0.2500 0.2500

---

AlAgP2 (PBE, relaxed); ρ = 5001 kg/m3; ΔE_f = 0.377 eV/atom; total DFT energy (no corrections) = -3.98 eV/atom; total magnetic moment = 0.00 μB per atom; space-group type = P4/mmm
1.0
4.3447 0.0000 0.0000
0.0000 4.3447 0.0000
0.0000 0.0000 3.4617
Al Ag P
1 1 2
Direct
0.0000 0.0000 0.0000
0.5000 0.5000 0.0000
0.0000 0.5000 0.5000
0.5000 0.0000 0.5000

---

Co2AgMo (PBE, relaxed); ρ = 9995 kg/m3; ΔE_f = 0.465 eV/atom; total DFT energy (no corrections) = -6.51 eV/atom; ΔE to the lowest computed polymorph = 70 kJ/mol of formula units; total magnetic moment = 0.00 μB per atom; space-group type = P4/mmm
1.0
3.9923 0.0000 0.0000
0.0000 3.9923 0.0000
0.0000 0.0000 3.3530
Co Ag Mo
2 1 1
Direct
0.0000 0.5000 0.0000
0.5000 0.0000 0.0000
0.0000 0.0000 0.5000
0.5000 0.5000 0.5000

---

LiScTcW (PBE, relaxed); ρ = 8789 kg/m3; ΔE_f = 0.057 eV/atom; total DFT energy (no corrections) = -7.83 eV/atom; total magnetic moment = 0.00 μB per atom; space-group type = F-43m
1.0
0.0000 3.1591 3.1591
3.1591 0.0000 3.1591
3.1591 3.1591 0.0000
Li Sc Tc W
1 1 1 1
Direct
0.0000 0.0000 0.0000
0.7500 0.7500 0.7500
0.5000 0.5000 0.5000
0.2500 0.2500 0.2500

---

SiP (PBE, relaxed); ρ = 3449 kg/m3; total DFT energy (no corrections) = -4.81 eV/atom; E_form (uncorrected) = 0.604 eV/atom; total magnetic moment = 0.00 μB per atom; space-group type = Fd-3m
1.0
0.0000 3.0523 3.0523
3.0523 0.0000 3.0523
3.0523 3.0523 0.0000
Si P
2 2
Direct
0.1250 0.1250 0.1250
0.8750 0.8750 0.8750
0.3750 0.3750 0.3750
0.6250 0.6250 0.6250

---

Ba3As4Pd7 (PBE, relaxed); ρ = 7708 kg/m3; ΔE_f = -0.672 eV/atom; total DFT energy (no corrections) = -5.01 eV/atom; total magnetic moment = 0.00 μB per atom; space-group type = C2/m
1.0
8.3953 -2.1998 0.0000
8.3953 2.1998 0.0000
-6.5439 0.0000 8.4962
Ba As Pd
3 4 7
Direct
0.0000 0.0000 0.0000
0.3130 0.3130 0.3100
0.6870 0.6870 0.6900
0.1023 0.1023 0.3904
0.3278 0.3278 0.9935
0.6722 0.6722 0.0065
0.8977 0.8977 0.6096
0.0000 0.0000 0.5000
0.1368 0.1368 0.8723
0.2997 0.2997 0.5971
0.4982 0.4982 0.2619
0.5018 0.5018 0.7381
0.7003 0.7003 0.4029
0.8632 0.8632 0.1277

---

PrMg2Ir (PBE, relaxed); ρ = 6948 kg/m3; ΔE_f = -0.440 eV/atom; total DFT energy (no corrections) = -4.65 eV/atom; total magnetic moment = 0.00 μB per atom; space-group type = Pnma
1.0
15.7236 0.0000 0.0000
0.0000 8.3119 0.0000
0.0000 0.0000 5.5847
Pr Mg Ir
8 16 8
Direct
0.1037 0.2500 0.2424
0.1357 0.7500 0.0421
0.3643 0.2500 0.5421
0.3963 0.7500 0.7424
0.6037 0.2500 0.2576
0.6357 0.7500 0.4579
0.8643 0.2500 0.9579
0.8963 0.7500 0.7576
0.0430 0.0573 0.7266
0.0430 0.4427 0.7266
0.2113 0.5566 0.5339
0.2113 0.9434 0.5339
0.2887 0.0566 0.0339
0.2887 0.4434 0.0339
0.4570 0.5573 0.2266
0.4570 0.9427 0.2266
0.5430 0.0573 0.7734
0.5430 0.4427 0.7734
0.7113 0.5566 0.9661
0.7113 0.9434 0.9661
0.7887 0.0566 0.4661
0.7887 0.4434 0.4661
0.9570 0.5573 0.2734
0.9570 0.9427 0.2734
0.0681 0.7500 0.5359
0.1894 0.2500 0.7382
0.3106 0.7500 0.2382
0.4319 0.2500 0.0359
0.5681 0.7500 0.9641
0.6894 0.2500 0.7618
0.8106 0.7500 0.2618
0.9319 0.2500 0.4641

---

Nb2GeRh8 (PBE, relaxed); ρ = 10675 kg/m3; ΔE_f = -0.357 eV/atom; total DFT energy (no corrections) = -7.95 eV/atom; total magnetic moment = 0.00 μB per atom; space-group type = Immm
1.0
-2.1929 2.8494 6.7325
2.1929 -2.8494 6.7325
2.1929 2.8494 -6.7325
Nb Ge Rh
2 1 8
Direct
0.1923 0.1923 0.0000
0.8077 0.8077 0.0000
0.5000 0.5000 0.0000
0.0999 0.3616 0.7383
0.2390 0.0000 0.2390
0.3195 0.8195 0.5000
0.3767 0.6384 0.7383
0.6233 0.3616 0.2617
0.6805 0.1805 0.5000
0.7610 0.0000 0.7610
0.9001 0.6384 0.2617

---

Dy8CSe3S3 (PBE, relaxed); ρ = 7811 kg/m3; total DFT energy (no corrections) = -6.18 eV/atom; E_form (uncorrected) = -1.590 eV/atom; total magnetic moment = 0.00 μB per atom; space-group type = R-3m
1.0
3.9179 2.2620 6.5763
-3.9179 2.2620 6.5763
0.0000 -4.5240 6.5763
Dy C Se S
8 1 3 3
Direct
0.2419 0.2419 0.2419
0.2646 0.7248 0.7248
0.2752 0.2752 0.7354
0.2752 0.7354 0.2752
0.7248 0.2646 0.7248
0.7248 0.7248 0.2646
0.7354 0.2752 0.2752
0.7581 0.7581 0.7581
0.5000 0.5000 0.5000
0.0000 0.5000 0.5000
0.5000 0.0000 0.5000
0.5000 0.5000 0.0000
0.0000 0.0000 0.5000
0.0000 0.5000 0.0000
0.5000 0.0000 0.0000

---

TmCdS2 (PBE, relaxed); ρ = 5308 kg/m3; total DFT energy (no corrections) = -4.64 eV/atom; E_form (uncorrected) = -1.228 eV/atom; total magnetic moment = 0.00 μB per atom; space-group type = R-3m
1.0
1.9566 1.1297 8.1487
-1.9566 1.1297 8.1487
0.0000 -2.2593 8.1487
Tm Cd S
1 1 2
Direct
0.0000 0.0000 0.0000
0.5000 0.5000 0.5000
0.3934 0.3934 0.3934
0.6066 0.6066 0.6066

---

PrZnAg2 (PBE, relaxed); ρ = 8047 kg/m3; ΔE_f = -0.252 eV/atom; total DFT energy (no corrections) = -3.19 eV/atom; total magnetic moment = 0.00 μB per atom; space-group type = C2/c
1.0
2.7451 -6.5923 0.0000
2.7451 6.5923 0.0000
-2.6320 0.0000 4.8128
Pr Zn Ag
2 2 4
Direct
0.1272 0.8728 0.7500
0.8728 0.1272 0.2500
0.2483 0.7517 0.2500
0.7517 0.2483 0.7500
0.2493 0.4227 0.9030
0.4227 0.2493 0.4030
0.5773 0.7507 0.5970
0.7507 0.5773 0.0970

---

Nd2Ni4As3Ir (PBE, relaxed); ρ = 9325 kg/m3; ΔE_f = -0.665 eV/atom; total DFT energy (no corrections) = -6.21 eV/atom; total magnetic moment = 0.00 μB per atom; space-group type = P-4m2
1.0
4.0965 0.0000 0.0000
0.0000 4.0965 0.0000
0.0000 0.0000 9.9766
Nd Ni As Ir
2 4 3 1
Direct
0.0000 0.5000 0.2485
0.5000 0.0000 0.7515
0.0000 0.0000 0.0000
0.0000 0.5000 0.6382
0.5000 0.0000 0.3618
0.5000 0.5000 0.0000
0.0000 0.5000 0.8737
0.5000 0.0000 0.1263
0.5000 0.5000 0.5000
0.0000 0.0000 0.5000

---

Tb3Sc7 (PBE, relaxed); ρ = 4913 kg/m3; ΔE_f = 0.203 eV/atom; total DFT energy (no corrections) = -5.62 eV/atom; ΔE to the lowest computed polymorph = 143 kJ/mol of formula units; total magnetic moment = 0.00 μB per atom; space-group type = P6_3mc
1.0
10.1793 0.0000 0.0000
-5.0896 8.8155 0.0000
0.0000 0.0000 5.9620
Tb Sc
6 14
Direct
0.2038 0.4076 0.0000
0.2038 0.7962 0.0000
0.4076 0.2038 0.5000
0.5924 0.7962 0.0000
0.7962 0.2038 0.5000
0.7962 0.5924 0.5000
0.0592 0.5296 0.6464
0.1190 0.2380 0.4832
0.1190 0.8810 0.4832
0.2380 0.1190 0.9832
0.3333 0.6667 0.3551
0.4704 0.5296 0.6464
0.4704 0.9408 0.6464
0.5296 0.0592 0.1464
0.5296 0.4704 0.1464
0.6667 0.3333 0.8551
0.7620 0.8810 0.4832
0.8810 0.1190 0.9832
0.8810 0.7620 0.9832
0.9408 0.4704 0.1464

---

Ta2BeFe (PBE, relaxed); ρ = 12503 kg/m3; ΔE_f = 0.028 eV/atom; total DFT energy (no corrections) = -8.95 eV/atom; total magnetic moment = 0.36 μB per atom; space-group type = Immm
1.0
-2.0118 2.0513 3.4336
2.0118 -2.0513 3.4336
2.0118 2.0513 -3.4336
Ta Be Fe
2 1 1
Direct
0.2495 0.2495 0.0000
0.7505 0.7505 0.0000
0.5000 0.0000 0.5000
0.0000 0.5000 0.5000

---

BaLaSe2N (PBE, relaxed); ρ = 4891 kg/m3; total DFT energy (no corrections) = -5.37 eV/atom; ΔE to the lowest computed polymorph = 0 kJ/mol of formula units; E_form (uncorrected) = -0.944 eV/atom; total magnetic moment = 0.23 μB per atom; space-group type = P4/mmm
1.0
5.8759 0.0000 0.0000
0.0000 5.8759 0.0000
0.0000 0.0000 4.4070
Ba La Se N
1 1 2 1
Direct
0.0000 0.0000 0.0000
0.5000 0.5000 0.5000
0.0000 0.5000 0.5000
0.5000 0.0000 0.5000
0.5000 0.5000 0.0000

---

CdP2Br8 (PBE, relaxed); ρ = 2745 kg/m3; total DFT energy (no corrections) = -2.71 eV/atom; E_form (uncorrected) = -0.422 eV/atom; total magnetic moment = 0.00 μB per atom; space-group type = C2/m
1.0
5.2020 -5.7348 0.0000
5.2020 5.7348 0.0000
-3.6552 0.0000 8.2481
Cd P Br
1 2 8
Direct
0.0000 0.0000 0.0000
0.1826 0.1826 0.6419
0.8174 0.8174 0.3581
0.0028 0.6944 0.2185
0.2251 0.2251 0.2394
0.3056 0.9972 0.7815
0.4162 0.4162 0.7240
0.5838 0.5838 0.2760
0.6944 0.0028 0.2185
0.7749 0.7749 0.7606
0.9972 0.3056 0.7815

---

Li6MgRh5 (PBE, relaxed); ρ = 5765 kg/m3; ΔE_f = -0.212 eV/atom; total DFT energy (no corrections) = -4.36 eV/atom; total magnetic moment = 0.00 μB per atom; space-group type = C2/m
1.0
2.3393 -4.0491 0.0000
2.3393 4.0491 0.0000
-1.5747 0.0000 8.8265
Li Mg Rh
6 1 5
Direct
0.0606 0.4139 0.7400
0.2332 0.2332 0.2599
0.4139 0.0606 0.7400
0.5861 0.9394 0.2600
0.7668 0.7668 0.7401
0.9394 0.5861 0.2600
0.5000 0.5000 0.0000
0.0000 0.0000 0.5000
0.1667 0.8333 0.0000
0.3347 0.6653 0.5000
0.6653 0.3347 0.5000
0.8333 0.1667 0.0000

---

CsCl3 (PBE, relaxed); ρ = 2413 kg/m3; total DFT energy (no corrections) = -2.55 eV/atom; E_form (uncorrected) = -0.955 eV/atom; total magnetic moment = 0.00 μB per atom; space-group type = I4/mmm
1.0
-2.6487 2.6487 5.8673
2.6487 -2.6487 5.8673
2.6487 2.6487 -5.8673
Cs Cl
1 3
Direct
0.0000 0.0000 0.0000
0.3044 0.3044 0.0000
0.5000 0.5000 0.0000
0.6956 0.6956 0.0000